The following is a DFT calculation (GGA-PBE) of crystalline Zr2HgAs at its relaxed geometry.

Calculated values
- ΔH_f (0 K) (eV/atom) = -0.5059
- total DFT energy (no corrections) (eV/cell) = -24.07
- energy above the lowest structure with this stoichiometry (meV per atom) = 97
- calculated density (g/cm³) = 9.126

Geometry as POSCAR:
```
Zr2HgAs
1.0
3.1990 0.0000 0.0000
0.0000 3.6329 0.0000
-1.0692 0.0000 7.1702
Zr Hg As
2 1 1
direct
0.0843 0.0000 0.2727
0.9157 0.0000 0.7273
0.5000 0.5000 0.0000
0.5000 0.5000 0.5000
```